TiWS2Cl after structural relaxation, computed with PBE.

Calculated values
The value obtained for the magnetic moment is 4.84 μB per formula unit. The value obtained for the energy above the most stable polymorph in this dataset is 56.7 meV/atom. For the formation energy without anion corrections, the calculation gives 0.4080 eV per atom. As for the space group: P4/mmm.

a b c (Å): 4.7904 4.7904 4.5378
angles (deg): 90.00 90.00 90.00
Last column: nearest neighbours and their distance in Å.
Sites, in units of the cell vectors:
S1 0.0000 0.5000 0.0000  2 Ti 2.40
S2 0.5000 0.0000 0.0000  2 Ti 2.40
Cl1 0.0000 0.0000 0.5000  2 Ti 2.27
W1 0.5000 0.5000 0.5000  8 S 3.30, 4 Cl 3.39
Ti1 0.0000 0.0000 0.0000  2 Cl 2.27, 4 S 2.40